[1]
The following is a DFT calculation (GGA-PBEsol) of an optimized crystal structure of Mg4TaTl.

The structure in POSCAR format:
```
Mg4TaTl
1.0
5.645 0.000 0.000
2.822 4.889 0.000
2.822 1.630 4.609
Mg Ta Tl
4 1 1
direct
0.376 0.376 0.376
0.376 0.376 0.872
0.872 0.376 0.376
0.376 0.872 0.376
0.750 0.750 0.750
0.000 0.000 0.000
```

Values from the calculation:
calculated formation energy: 535 meV per atom
symmetry: F-43m
total DFT energy (no corrections): -3.140 eV/atom



[2]
The following is a DFT calculation (GGA-PBEsol) of an optimized crystal structure of Mg2TaTl.

The structure in POSCAR format:
```
Mg2TaTl
1.0
3.400 0.000 0.000
0.000 4.700 0.000
-1.700 -2.350 4.980
Mg Ta Tl
2 1 1
direct
0.007 0.007 0.013
0.244 0.744 0.488
0.497 0.497 0.994
0.752 0.252 0.505
```

Values from the calculation:
calculated formation energy: 390 meV per atom
symmetry: Imm2
total DFT energy (no corrections): -4.264 eV/atom



[3]
The following is a DFT calculation (GGA-PBEsol) of an optimized crystal structure of MgTaW2.

The structure in POSCAR format:
```
MgTaW2
1.0
-2.973 1.625 -1.888
-1.977 -3.327 0.249
0.753 2.161 4.657
Mg Ta W
1 1 2
direct
0.500 0.500 0.000
0.000 0.000 0.000
0.750 0.250 0.500
0.250 0.750 0.500
```

Values from the calculation:
calculated formation energy: 486 meV per atom
symmetry: I4/mmm
total DFT energy (no corrections): -9.985 eV/atom